# SrSm2Ru

Crystalline SrSm2Ru at its relaxed geometry (PBE, the Alexandria database).

Cell: 3.531 3.531 10.142 Å, 90.00 90.00 90.00°
Atoms (fractional coordinates):
Sr 0.000 0.000 0.000
Sm 0.500 0.500 0.336
Sm 0.500 0.500 0.664
Ru 0.000 0.000 0.500

Formation enthalpy at 0 K, eV per atom: -0.09
Calculated density, Mg/m³: 6.4
ΔE to the lowest computed polymorph, meV/atom: 0.0
E_tot, eV/atom: -5.192
M_tot, μB/atom: 0.00
SG: P4/mmm, No. 123